Run one
A plane-wave DFT calculation with meta-GGA SCAN was carried out for Y2Sc at its PBEsol-relaxed geometry.

a = 3.4348 Å, b = 3.4348 Å, c = 7.5305 Å
α = 103.18°, β = 103.18°, γ = 90.00°
Atoms (fractional coordinates):
Y  0.6611  0.6611  0.3221
Y  0.3389  0.3389  0.6779
Sc  0.0000  0.0000  0.0000

- theoretical density (g/cm3) = 4.40
- spin magnetization (μB per formula unit) = 0.000
- V (Å³ per atom) = 28.03

***

Run two
A plane-wave DFT calculation with meta-GGA SCAN was carried out for Y2Sc at its PBEsol-relaxed geometry.

a = 3.4072 Å, b = 9.2943 Å, c = 9.2943 Å
α = 120.00°, β = 90.00°, γ = 90.00°
Each line ends with the local moment (μB).
Atoms (fractional coordinates):
Sc  0.0000  0.3333  0.6667  0.22
Y  0.0000  0.0000  0.3015  0.34
Y  0.0000  0.6985  0.6985  0.34
Y  0.0000  0.3015  0.0000  0.34
Sc  0.0000  0.6667  0.3333  0.22
Y  0.5000  0.0000  0.6344  0.28
Y  0.5000  0.3656  0.3656  0.28
Y  0.5000  0.6344  0.0000  0.28
Sc  0.5000  0.0000  0.0000  0.56

- theoretical density (g/cm3) = 4.35
- spin magnetization (μB per formula unit) = 1.468
- V (Å³ per atom) = 28.32

***

Ordering by calculated energy gives the sequence run two, run one, with the first entry being the most stable.

***

Run one
A plane-wave DFT calculation with meta-GGA SCAN was carried out for Y2Sc at its PBEsol-relaxed geometry.

a = 5.3510 Å, b = 6.5536 Å, c = 9.6524 Å
α = 90.00°, β = 90.00°, γ = 90.00°
Atoms (fractional coordinates):
Y  0.7500  0.4596  0.7196
Y  0.2500  0.5404  0.2804
Y  0.7500  0.9596  0.7804
Y  0.7500  0.8050  0.4442
Y  0.2500  0.0404  0.2196
Sc  0.2500  0.7036  0.6174
Y  0.7500  0.3050  0.0558
Y  0.2500  0.6950  0.9442
Sc  0.7500  0.2964  0.3826
Sc  0.2500  0.2036  0.8826
Y  0.2500  0.1950  0.5558
Sc  0.7500  0.7964  0.1174

- theoretical density (g/cm3) = 4.37
- spin magnetization (μB per formula unit) = 0.001
- V (Å³ per atom) = 28.21

***

Run two
A plane-wave DFT calculation with meta-GGA SCAN was carried out for Y2Sc at its PBEsol-relaxed geometry.

a = 5.3692 Å, b = 5.3692 Å, c = 6.7615 Å
α = 90.00°, β = 90.00°, γ = 120.00°
Each line ends with the local moment (μB).
Atoms (fractional coordinates):
Y  0.3333  0.6667  0.7500  0.18
Sc  0.3333  0.6667  0.2500  0.18
Y  0.0000  0.0000  0.0000  0.20
Y  0.0000  0.0000  0.5000  0.20
Y  0.6667  0.3333  0.2500  0.18
Sc  0.6667  0.3333  0.7500  0.18

- theoretical density (g/cm3) = 4.38
- spin magnetization (μB per formula unit) = 0.894
- V (Å³ per atom) = 28.13

***

Ordering by calculated energy gives the sequence run two, run one, with the first entry being the most stable.

***

Run one
A plane-wave DFT calculation with meta-GGA SCAN was carried out for Y2Sc at its PBEsol-relaxed geometry.

a = 3.4237 Å, b = 4.7883 Å, c = 5.9058 Å
α = 113.92°, β = 106.85°, γ = 90.00°
Atoms (fractional coordinates):
Y  0.6635  0.6635  0.3270
Y  0.3365  0.3365  0.6730
Sc  0.0000  0.0000  0.0000

- theoretical density (g/cm3) = 4.41
- spin magnetization (μB per formula unit) = 0.000
- V (Å³ per atom) = 27.98

***

Run two
A plane-wave DFT calculation with meta-GGA SCAN was carried out for Y2Sc at its PBEsol-relaxed geometry.

a = 6.2948 Å, b = 6.2948 Å, c = 6.2948 Å
α = 60.00°, β = 60.00°, γ = 60.00°
Each line ends with the local moment (μB).
Atoms (fractional coordinates):
Sc  0.0000  0.0000  0.0000  0.11
Sc  0.2500  0.2500  0.2500  0.11
Y  0.6250  0.6250  0.6250  -0.05
Y  0.1250  0.6250  0.6250  -0.05
Y  0.6250  0.1250  0.6250  -0.05
Y  0.6250  0.6250  0.1250  -0.05

- theoretical density (g/cm3) = 4.19
- spin magnetization (μB per formula unit) = 0.075
- V (Å³ per atom) = 29.40

***

Ordering by calculated energy gives the sequence run one, run two, with the first entry being the most stable.

***

Run one
A plane-wave DFT calculation with meta-GGA SCAN was carried out for Y2Sc at its PBEsol-relaxed geometry.

a = 4.7837 Å, b = 4.8578 Å, c = 7.6185 Å
α = 90.00°, β = 108.30°, γ = 90.00°
Atoms (fractional coordinates):
Y  0.2519  0.7500  0.5038
Y  0.7481  0.2500  0.4962
Y  0.5803  0.7500  0.1605
Sc  0.0813  0.2500  0.1627
Y  0.4197  0.2500  0.8395
Sc  0.9187  0.7500  0.8373

- theoretical density (g/cm3) = 4.40
- spin magnetization (μB per formula unit) = 0.000
- V (Å³ per atom) = 28.01

***

Run two
A plane-wave DFT calculation with meta-GGA SCAN was carried out for Y2Sc at its PBEsol-relaxed geometry.

a = 3.4858 Å, b = 6.4398 Å, c = 8.0740 Å
α = 102.33°, β = 90.00°, γ = 105.70°
Each line ends with the local moment (μB).
Atoms (fractional coordinates):
Y  0.3119  0.6238  0.8646  0.02
Y  0.6355  0.2711  0.5309  0.17
Y  0.3645  0.7289  0.4691  0.17
Sc  0.0282  0.0564  0.8094  -0.07
Y  0.6881  0.3762  0.1354  0.02
Sc  0.9718  0.9436  0.1906  -0.07

- theoretical density (g/cm3) = 4.35
- spin magnetization (μB per formula unit) = 0.172
- V (Å³ per atom) = 28.36

***

Ordering by calculated energy gives the sequence run two, run one, with the first entry being the most stable.